A plane-wave DFT calculation with PBE with a Hubbard U was carried out for an optimized crystal structure of Sr2ZnNiO4.

Geometry as extended XYZ:
```
8
Lattice="-5.2359 -1.0141 0.5892 2.5742 -3.3041 -3.3536 2.9589 -0.7811 4.4074" Properties=species:S:1:pos:R:3 pbc="T T T"
Sr 0.0524 -3.1804 -1.1187
Sr 0.0000 0.0000 0.0000
Zn 2.7666 -2.0426 0.5269
Ni 0.2448 -1.9189 2.7617
O -0.6487 -2.2007 1.0131
O 1.9581 -1.1391 2.1357
O -3.1395 -2.8685 -0.7743
O 2.4245 -3.9902 0.9115
```

N(E_F): 6.2 states/eV/cell
Uncorrected energy: -5.1220 eV per atom
Crystal system: tetragonal
M_tot: 2.00 Bohr magnetons per cell
Symmetry: No. 82